The following is a DFT calculation (SCAN) of Y2CrAu at its PBEsol-relaxed geometry.

Properties
ΔH_f (0 K): -1.35 eV per formula unit
Excess energy over the best structure of this formula in the dataset: 0.57 eV per formula unit
N(E_F): 2.73 states/eV per cell
Space group: P4mm (99)

abc: 3.648 3.648 6.929
angles: 90.00 90.00 90.00
Element x y z (fractional)
Y 0.000 0.000 0.000
Y 0.500 0.500 0.353
Cr 0.500 0.500 0.778
Au 0.000 0.000 0.568